Computed, not measured: CrW at its PBEsol-relaxed geometry at the SCAN level of DFT.

**Calculated volume**: 13.6 Å³ per atom
**Energy relative to the elements**: 91 meV/atom
**Total magnetic moment**: 0.00 μB per formula unit
**Final energy**: -43.945 eV per atom
**N(E_F)**: 6.24 states/eV per cell

CIF file:
```
data_CrW
_chemical_formula_sum 'Cr6 W6'
_cell_length_a 9.492
_cell_length_b 3.016
_cell_length_c 6.012
_cell_angle_alpha 90.00
_cell_angle_beta 108.79
_cell_angle_gamma 90.00
_symmetry_space_group_name_H-M 'C 1 2/m 1'
_symmetry_Int_Tables_number 12
_symmetry_space_group_name_Hall '-C 2y'
loop_
_atom_site_label
_atom_site_type_symbol
_atom_site_fract_x
_atom_site_fract_y
_atom_site_fract_z
_atom_site_occupancy
Cr1 Cr 0.000 0.000 0.000 1
Cr2 Cr 0.168 0.500 0.841 1
W1 W 0.000 0.000 0.500 1
W2 W 0.166 0.500 0.318 1
```